Arrangement i

## CaAcTl (PBE-GGA)

Data for an optimized crystal structure of CaAcTl.

Its density of states at the Fermi level is 3.0 states/eV/f.u.

The structure belongs to space group P3m1 (No. 156); the cell edges are 5.5354, 5.5354 and 4.0691 Å and the angles 90.00°, 90.00° and 120.00°. The asymmetric unit holds Ca at (0.0000, 0.0000, 0.0000), Ac at (0.6667, 0.3333, 0.4988) and Tl at (0.3333, 0.6667, 0.9917).

Arrangement ii

## CaAcTl (PBE-GGA)

Data for an optimized crystal structure of CaAcTl.

Its density of states at the Fermi level is 4.2 states/eV/f.u.

The structure belongs to space group I4mm (No. 107); the cell edges are 3.653, 3.653 and 19.446 Å and the angles 90.00°, 90.00° and 90.00°. The asymmetric unit holds Ca at (0.000, 0.000, 0.000), Ac at (0.000, 0.000, 0.346) and Tl at (0.000, 0.000, 0.170).

In order of decreasing stability: arrangement i, arrangement ii.